Entry 1:
! PBE Ga2SbAu, optimized geometry; values from VASP
&SYSTEM
  ibrav = 0, nat = 4, ntyp = 3
/
ATOMIC_SPECIES
Sb 121.76 Sb.upf
Au 196.97 Au.upf
Ga 69.72 Ga.upf
ATOMIC_POSITIONS angstrom
Sb -1.995 -1.483 5.717
Au 0.000 0.000 0.000
Ga -4.126 0.202 6.481
Ga 0.137 -3.169 4.952
CELL_PARAMETERS angstrom
-1.103 2.340 3.311
-3.847 -0.374 1.649
0.960 -4.933 6.473
! VASP energy: -3.230 eV/atom
! Space group: No. 166
! Raw formation energy: 13 kJ per mole of atoms


Entry 2:
! PBE Ga2SbAu6, optimized geometry; values from VASP
&SYSTEM
  ibrav = 0, nat = 9, ntyp = 3
/
ATOMIC_SPECIES
Au 196.97 Au.upf
Ga 69.72 Ga.upf
Sb 121.76 Sb.upf
ATOMIC_POSITIONS angstrom
Au -1.919 -0.645 1.044
Au -1.103 -7.662 4.050
Au -2.776 -7.152 1.142
Au -1.595 -3.292 0.047
Au -3.101 -4.505 2.139
Au -3.592 -0.135 -1.864
Ga -0.951 -0.066 -1.387
Ga -3.744 -7.731 3.573
Sb -0.443 -5.034 3.085
CELL_PARAMETERS angstrom
-2.724 1.345 1.804
-1.084 0.926 -5.788
-0.887 -10.068 6.170
! VASP energy: -3.375 eV/atom
! Space group: No. 12
! Raw formation energy: -6 kJ per mole of atoms